No. 1
Entry from Alexandria via LeMat-Bulk: an optimized crystal structure of K2HgW (PBE).

Calculated volume (Å³ per atom): 31.2
Fermi-level density of states (states/eV per atom): 0.730
M_tot (μB/atom): 1.11
Crystal system: tetragonal

abc: 5.6322 5.6322 5.6322
angles: 120.70 120.70 88.78
With the nearest neighbours (Å) after each atom.
Fractional positions:
K1 0.0000 0.0000 0.0000  4 W 3.44, 4 K 3.44
K2 0.7500 0.2500 0.5000  4 Hg 3.44, 4 K 3.44
Hg1 0.5000 0.5000 0.0000  4 W 3.44, 4 K 3.44
W1 0.2500 0.7500 0.5000  4 Hg 3.44, 4 K 3.44



No. 2
Entry from Alexandria via LeMat-Bulk: an optimized crystal structure of Sr5Cd2Bi5 (PBE).

Calculated volume (Å³ per atom): 36.6
Fermi-level density of states (states/eV per atom): 0.548
M_tot (μB/atom): 0.00
Crystal system: monoclinic

abc: 5.0846 5.0846 19.8309
angles: 97.35 97.35 60.03
With the nearest neighbours (Å) after each atom.
Fractional positions:
Sr1 0.0000 0.0000 0.0000  6 Bi 3.47
Sr2 0.1958 0.1958 0.5878  6 Bi 3.40-3.62
Sr3 0.2756 0.2756 0.8277  3 Bi 3.31, 3 Cd 3.38
Sr4 0.7244 0.7244 0.1723  3 Bi 3.31, 3 Cd 3.38
Sr5 0.8042 0.8042 0.4122  6 Bi 3.40-3.62
Cd1 0.4196 0.4196 0.2578  4 Bi 3.07-3.21, 3 Sr 3.38
Cd2 0.5804 0.5804 0.7422  4 Bi 3.07-3.21, 3 Sr 3.38
Bi1 0.1017 0.1017 0.3043  3 Cd 3.07
Bi2 0.3650 0.3650 0.0943  1 Cd 3.21, 6 Sr 3.31-3.47
Bi3 0.5000 0.5000 0.5000  6 Sr 3.40
Bi4 0.6350 0.6350 0.9057  1 Cd 3.21, 6 Sr 3.31-3.47
Bi5 0.8983 0.8983 0.6957  3 Cd 3.07



no.,final energy (eV per atom)
1,-2.548
2,-3.154